Record 1
VASP calculation (PBE) on crystalline La2Mo at its relaxed geometry.

abc: 5.055 5.055 3.475
angles: 90.00 90.00 90.00
Space group P4/mmm (No. 123)
Asymmetric unit:
La 0.000 0.500 0.000
Mo 0.000 0.000 0.500

## Properties
The total energy is -6.36 eV/atom. The calculation puts the polymorph energy (0 for the lowest one) at 308 meV/atom.



Record 2
VASP calculation (PBE) on crystalline LaMo5 at its relaxed geometry.

abc: 4.9641 4.9641 15.0484
angles: 90.00 90.00 120.00
Space group R32 (No. 155, hexagonal axes)
Asymmetric unit:
La 0.0000 0.0000 0.0000
Mo 0.0000 0.0000 0.3300
Mo 0.0000 0.3067 0.5000

## Properties
The total energy is -9.12 eV/atom. The calculation puts the polymorph energy (0 for the lowest one) at 390 meV/atom.



Record 3
VASP calculation (PBE) on crystalline LaMo2 at its relaxed geometry.

abc: 5.128 5.128 10.792
angles: 90.00 90.00 90.00
Space group I4/mcm (No. 140)
Asymmetric unit:
La 0.000 0.000 0.250
Mo 0.199 0.301 0.000

## Properties
The total energy is -8.29 eV/atom. The calculation puts the polymorph energy (0 for the lowest one) at 274 meV/atom.



Record 4
VASP calculation (PBE) on crystalline LaMo2 at its relaxed geometry.

abc: 10.339 3.215 8.124
angles: 90.00 111.10 90.00
Space group C2/m (No. 12)
Asymmetric unit:
La 0.155 0.000 0.103
Mo 0.002 0.500 0.317
Mo 0.163 0.000 0.551

## Properties
The total energy is -8.51 eV/atom. The calculation puts the polymorph energy (0 for the lowest one) at 57 meV/atom.



Looking at mass density for the records above, in order, we have 6989, 9596, 7743, 8721 kg/m³.